Material: Zr2GeP
Method: DFT, PBE
State: relaxed

Values from the calculation:
Its energy relative to the lowest polymorph listed for this composition is 169 meV per atom. Its space group is Amm2, No. 38. The calculation puts the size of the total moment at 0.000 μB per formula unit. The value obtained for the density is 6.4 g/cm³. The value obtained for the formation energy is -84.1 kJ/mol of atoms.

Cell lengths 6.404, 6.724, 6.724 Å; angles 30.88, 90.00, 90.00 degrees
Fractional positions:
Zr1 0.000 0.000 0.000
Zr2 0.000 0.250 0.250
Zr3 0.500 0.188 0.188
Zr4 0.500 0.473 0.473
Ge1 0.297 0.840 0.840
Ge2 0.703 0.840 0.840
P1 0.216 0.617 0.617
P2 0.784 0.617 0.617